Here is TaAg2Br at its PBEsol-relaxed geometry from the Alexandria database. Energies are from SCAN.

Properties
density of states at the Fermi level = 0.382 states/eV per atom
offset from the most stable computed form = 0 meV per atom
energy relative to the elements, uncorrected = 0.26 eV/atom
spin magnetization = 0.000 μB/cell

a b c (Å): 3.0020 3.0020 8.4500
angles (deg): 90.00 90.00 90.00
With the nearest neighbours (Å) after each atom.
Element x y z (fractional)
Br1 0.0000 0.0000 0.5528  4 Ta 2.72, 4 Br 3.00
Ag1 0.0000 0.0000 0.9854  8 Ag 2.84-3.00, 4 Ta 2.89
Ag2 0.5000 0.5000 0.2079  8 Ag 2.84-3.00
Ta1 0.5000 0.5000 0.7540  4 Br 2.72, 4 Ag 2.89, 4 Ta 3.00


Here is La2WSe at its PBEsol-relaxed geometry from the Alexandria database. Energies are from SCAN.

Properties
density of states at the Fermi level = 0.832 states/eV per atom
offset from the most stable computed form = 0 meV per atom
energy relative to the elements, uncorrected = -0.27 eV/atom
spin magnetization = 1.697 μB/cell

a b c (Å): 3.5128 3.5154 7.9111
angles (deg): 90.00 90.00 90.00
With the nearest neighbours (Å) after each atom.
Element x y z (fractional)
La1 0.0000 0.0000 0.7491  4 W 3.17, 4 Se 3.18, 4 La 3.51-3.52
La2 0.0000 0.0000 0.2509  4 W 3.17, 4 Se 3.18, 4 La 3.51-3.52
Se1 0.5000 0.5000 0.0000  8 La 3.18, 4 Se 3.51-3.52
W1 0.5000 0.5000 0.5000  8 La 3.17, 4 W 3.51-3.52


Here is ReTcW2 at its PBEsol-relaxed geometry from the Alexandria database. Energies are from SCAN.

Properties
energy relative to the elements = 0.030 eV per atom
density of states at the Fermi level = 0.838 states/eV per atom
offset from the most stable computed form = 3 meV per atom
spin magnetization = 0.000 μB/cell

a b c (Å): 4.3981 4.3981 4.3981
angles (deg): 60.00 60.00 60.00
With the nearest neighbours (Å) after each atom.
Element x y z (fractional)
Re1 0.0000 0.0000 0.0000  8 W 2.69
Tc1 0.5000 0.5000 0.5000  8 W 2.69
W1 0.2500 0.2500 0.2500  4 Tc 2.69, 4 Re 2.69
W2 0.7500 0.7500 0.7500  4 Tc 2.69, 4 Re 2.69


Here is RbMnN2O at its PBEsol-relaxed geometry from the Alexandria database. Energies are from SCAN.

Properties
density of states at the Fermi level = 0.299 states/eV per atom
energy relative to the elements, uncorrected = 0.04 eV/atom
spin magnetization = 0.121 μB/cell

a b c (Å): 3.6864 3.6864 4.1228
angles (deg): 90.00 90.00 90.00
With the nearest neighbours (Å) after each atom.
Element x y z (fractional)
Mn1 0.0000 0.0000 0.0000  4 N 1.84, 2 O 2.06
O1 0.0000 0.0000 0.5000  2 Mn 2.06
Rb1 0.5000 0.5000 0.5000  4 O 2.61, 8 N 2.77
N1 0.0000 0.5000 0.0000  2 Mn 1.84
N2 0.5000 0.0000 0.0000  2 Mn 1.84


Here is Er2CuPd at its PBEsol-relaxed geometry from the Alexandria database. Energies are from SCAN.

Properties
energy relative to the elements = -0.676 eV per atom
density of states at the Fermi level = 0.626 states/eV per atom
spin magnetization = 0.000 μB/cell

a b c (Å): 4.8071 4.8071 4.8071
angles (deg): 60.00 60.00 60.00
With the nearest neighbours (Å) after each atom.
Element x y z (fractional)
Pd1 0.5000 0.5000 0.5000  8 Er 2.94
Cu1 0.0000 0.0000 0.0000  8 Er 2.94
Er1 0.2500 0.2500 0.2500  4 Cu 2.94, 4 Pd 2.94
Er2 0.7500 0.7500 0.7500  4 Cu 2.94, 4 Pd 2.94


Here is Sr2Zn3Au6 at its PBEsol-relaxed geometry from the Alexandria database. Energies are from SCAN.

Properties
energy relative to the elements = -0.661 eV per atom
density of states at the Fermi level = 0.290 states/eV per atom
spin magnetization = 0.000 μB/cell

a b c (Å): 8.3515 8.3515 8.7013
angles (deg): 61.32 61.32 60.00
With the nearest neighbours (Å) after each atom.
Element x y z (fractional)
Sr1 0.9083 0.9083 0.2752  9 Au 3.21-3.29, 3 Zn 3.55
Sr2 0.4083 0.4083 0.7752  9 Au 3.21-3.29, 3 Zn 3.55
Sr3 0.0917 0.0917 0.7248  9 Au 3.21-3.29, 3 Zn 3.55
Sr4 0.5917 0.5917 0.2248  9 Au 3.21-3.29, 3 Zn 3.55
Zn1 0.9389 0.7500 0.7500  6 Au 2.60-2.77, 2 Zn 2.73
Zn2 0.7500 0.5611 0.7500  6 Au 2.60-2.77, 2 Zn 2.73
Zn3 0.5611 0.9389 0.7500  6 Au 2.60-2.77, 2 Zn 2.73
Zn4 0.0611 0.2500 0.2500  6 Au 2.60-2.77, 2 Zn 2.73
Zn5 0.2500 0.4389 0.2500  6 Au 2.60-2.77, 2 Zn 2.73
Zn6 0.4389 0.0611 0.2500  6 Au 2.60-2.77, 2 Zn 2.73
Au1 0.2052 0.8637 0.4516  3 Zn 2.60-2.77, 2 Au 2.85
Au2 0.8637 0.4796 0.4516  3 Zn 2.60-2.77, 2 Au 2.85
Au3 0.4796 0.2052 0.4516  3 Zn 2.60-2.77, 2 Au 2.85
Au4 0.9796 0.3637 0.9516  3 Zn 2.60-2.77, 2 Au 2.85
Au5 0.3637 0.7052 0.9516  3 Zn 2.60-2.77, 2 Au 2.85
Au6 0.7052 0.9796 0.9516  3 Zn 2.60-2.77, 2 Au 2.85
Au7 0.7948 0.1363 0.5484  3 Zn 2.60-2.77, 2 Au 2.85
Au8 0.1363 0.5204 0.5484  3 Zn 2.60-2.77, 2 Au 2.85
Au9 0.5204 0.7948 0.5484  3 Zn 2.60-2.77, 2 Au 2.85
Au10 0.0204 0.6363 0.0484  3 Zn 2.60-2.77, 2 Au 2.85
Au11 0.6363 0.2948 0.0484  3 Zn 2.60-2.77, 2 Au 2.85
Au12 0.2948 0.0204 0.0484  3 Zn 2.60-2.77, 2 Au 2.85


Here is CaScSe at its PBEsol-relaxed geometry from the Alexandria database. Energies are from SCAN.

Properties
density of states at the Fermi level = 0.653 states/eV per atom
offset from the most stable computed form = 0 meV per atom
energy relative to the elements, uncorrected = -1.17 eV/atom
spin magnetization = 0.656 μB/cell

a b c (Å): 3.7896 3.7896 6.3003
angles (deg): 90.00 90.00 120.00
With the nearest neighbours (Å) after each atom.
Element x y z (fractional)
Sc1 0.3333 0.6667 0.5922  3 Se 2.66
Ca1 0.0000 0.0000 0.0546  3 Se 2.89
Se1 0.6667 0.3333 0.3532  3 Sc 2.66, 3 Ca 2.89


Here is La2CuAu at its PBEsol-relaxed geometry from the Alexandria database. Energies are from SCAN.

Properties
energy relative to the elements = -0.629 eV per atom
density of states at the Fermi level = 0.691 states/eV per atom
spin magnetization = 0.000 μB/cell

a b c (Å): 3.9449 4.6166 5.8959
angles (deg): 90.00 109.54 90.00
With the nearest neighbours (Å) after each atom.
Element x y z (fractional)
Au1 0.8266 0.0000 0.6533  2 Cu 2.83, 6 La 3.07-3.12
Cu1 0.6799 0.5000 0.3598  2 Au 2.83, 6 La 3.08-3.12
La1 0.1145 0.0000 0.2289  3 Au 3.07-3.20, 4 Cu 3.12
La2 0.3929 0.5000 0.7859  3 Cu 3.08-3.19, 4 Au 3.12


- Among the records above, which one has the lowest density of states at the Fermi level?
  Sr2Zn3Au6